VASP calculation (PBE-GGA) on PrMgMo after structural relaxation.

Computed properties:
The total magnetization comes out at 2.97 μB/f.u. As for the relative energy among the computed polymorphs: 0 meV/atom.

a b c (Å): 4.9213 4.9213 4.9213
angles (deg): 60.00 60.00 60.00
Closest atoms and distances in Å follow each position.
Fractional positions:
Pr1 0.0000 0.0000 0.0000  4 Mo 3.01
Mg1 0.5000 0.5000 0.5000  4 Mo 3.01
Mo1 0.7500 0.7500 0.7500  4 Pr 3.01, 4 Mg 3.01

---

VASP calculation (PBE-GGA) on YMgReMo after structural relaxation.

Computed properties:
The total magnetization comes out at 0.00 μB/f.u. As for the relative energy among the computed polymorphs: 0 meV/atom.

a b c (Å): 4.7124 4.7124 4.7124
angles (deg): 60.00 60.00 60.00
Closest atoms and distances in Å follow each position.
Fractional positions:
Y1 0.0000 0.0000 0.0000  4 Re 2.89, 4 Mg 2.89
Mg1 0.2500 0.2500 0.2500  4 Mo 2.89, 4 Y 2.89
Re1 0.7500 0.7500 0.7500  4 Mo 2.89, 4 Y 2.89
Mo1 0.5000 0.5000 0.5000  4 Re 2.89, 4 Mg 2.89

---

VASP calculation (PBE-GGA) on YMgReMo after structural relaxation.

Computed properties:
The total magnetization comes out at 1.70 μB/f.u. As for the relative energy among the computed polymorphs: 474 meV/atom.

a b c (Å): 4.7378 4.7378 4.7378
angles (deg): 60.00 60.00 60.00
Closest atoms and distances in Å follow each position.
Fractional positions:
Y1 0.0000 0.0000 0.0000  4 Re 2.90, 4 Mo 2.90
Mg1 0.5000 0.5000 0.5000  4 Re 2.90, 4 Mo 2.90
Re1 0.7500 0.7500 0.7500  4 Y 2.90, 4 Mg 2.90
Mo1 0.2500 0.2500 0.2500  4 Mg 2.90, 4 Y 2.90

---

Number 1: uncorrected energy -4.803 eV per atom. Number 2: uncorrected energy -7.522 eV per atom. Number 3: uncorrected energy -7.047 eV per atom.